<one>
# SrRhSe

A geometry-optimized SrRhSe structure (PBEsol, Alexandria).

Structure (CIF):
```
data_SrRhSe
_chemical_formula_sum 'Sr4 Rh4 Se4'
_cell_length_a 6.746
_cell_length_b 6.746
_cell_length_c 6.746
_cell_angle_alpha 90.00
_cell_angle_beta 90.00
_cell_angle_gamma 90.00
_symmetry_space_group_name_H-M 'F -4 3 m'
_symmetry_Int_Tables_number 216
_symmetry_space_group_name_Hall 'F -4 2 3'
loop_
_atom_site_label
_atom_site_fract_x
_atom_site_fract_y
_atom_site_fract_z
Sr1 0.000 0.000 0.000
Rh1 0.250 0.250 0.750
Se1 0.250 0.250 0.250
```

---

<two>
# SrRhSe

A geometry-optimized SrRhSe structure (PBEsol, Alexandria).

Structure (CIF):
```
data_SrRhSe
_chemical_formula_sum 'Sr1 Rh1 Se1'
_cell_length_a 4.2118
_cell_length_b 4.2118
_cell_length_c 4.3188
_cell_angle_alpha 90.00
_cell_angle_beta 90.00
_cell_angle_gamma 120.00
_symmetry_space_group_name_H-M 'P -6 m 2'
_symmetry_Int_Tables_number 187
_symmetry_space_group_name_Hall 'P -6 2'
loop_
_atom_site_label
_atom_site_fract_x
_atom_site_fract_y
_atom_site_fract_z
Sr1 0.0000 0.0000 0.0000
Rh1 0.3333 0.6667 0.5000
Se1 0.6667 0.3333 0.5000
```

---

<three>
# SrRhSe

A geometry-optimized SrRhSe structure (PBEsol, Alexandria).

Structure (CIF):
```
data_SrRhSe
_chemical_formula_sum 'Sr2 Rh2 Se2'
_cell_length_a 3.547
_cell_length_b 3.547
_cell_length_c 10.367
_cell_angle_alpha 90.00
_cell_angle_beta 90.00
_cell_angle_gamma 90.00
_symmetry_space_group_name_H-M 'I 4 m m'
_symmetry_Int_Tables_number 107
_symmetry_space_group_name_Hall 'I 4 -2'
loop_
_atom_site_label
_atom_site_fract_x
_atom_site_fract_y
_atom_site_fract_z
Sr1 0.000 0.000 0.000
Rh1 0.000 0.000 0.283
Se1 0.000 0.000 0.716
```

---

Most stable pick: <two>. Distance to second place: 44.6 kJ/mol of atoms.

---

<one>
# SrRhSe2

A geometry-optimized SrRhSe2 structure (PBEsol, Alexandria).

Structure (CIF):
```
data_SrRhSe2
_chemical_formula_sum 'Sr3 Rh3 Se6'
_cell_length_a 4.0960
_cell_length_b 4.0960
_cell_length_c 17.7873
_cell_angle_alpha 90.00
_cell_angle_beta 90.00
_cell_angle_gamma 120.00
_symmetry_space_group_name_H-M 'R -3 m'
_symmetry_Int_Tables_number 166
_symmetry_space_group_name_Hall '-R 3 2"'
loop_
_atom_site_label
_atom_site_fract_x
_atom_site_fract_y
_atom_site_fract_z
Sr1 0.0000 0.0000 0.0000
Rh1 0.0000 0.0000 0.5000
Se1 0.0000 0.0000 0.2262
```

---

<two>
# SrRhSe2

A geometry-optimized SrRhSe2 structure (PBEsol, Alexandria).

Structure (CIF):
```
data_SrRhSe2
_chemical_formula_sum 'Sr3 Rh3 Se6'
_cell_length_a 3.8451
_cell_length_b 3.8451
_cell_length_c 24.8297
_cell_angle_alpha 90.00
_cell_angle_beta 90.00
_cell_angle_gamma 120.00
_symmetry_space_group_name_H-M 'R -3 m'
_symmetry_Int_Tables_number 166
_symmetry_space_group_name_Hall '-R 3 2"'
loop_
_atom_site_label
_atom_site_fract_x
_atom_site_fract_y
_atom_site_fract_z
Sr1 0.0000 0.0000 0.0000
Rh1 0.0000 0.0000 0.5000
Se1 0.0000 0.0000 0.1197
```

---

<three>
# SrRhSe2

A geometry-optimized SrRhSe2 structure (PBEsol, Alexandria).

Structure (CIF):
```
data_SrRhSe2
_chemical_formula_sum 'Sr1 Rh1 Se2'
_cell_length_a 3.381
_cell_length_b 3.381
_cell_length_c 7.062
_cell_angle_alpha 90.00
_cell_angle_beta 90.00
_cell_angle_gamma 90.00
_symmetry_space_group_name_H-M 'P 4/m m m'
_symmetry_Int_Tables_number 123
_symmetry_space_group_name_Hall '-P 4 2'
loop_
_atom_site_label
_atom_site_fract_x
_atom_site_fract_y
_atom_site_fract_z
Sr1 0.000 0.000 0.000
Rh1 0.000 0.000 0.500
Se1 0.500 0.500 0.294
```

---

Most stable pick: <one>. Distance to second place: 43.5 kJ/mol of atoms.

---

<one>
# TcRhSe2

A geometry-optimized TcRhSe2 structure (PBEsol, Alexandria).

Structure (CIF):
```
data_TcRhSe2
_chemical_formula_sum 'Tc1 Rh1 Se2'
_cell_length_a 3.008
_cell_length_b 3.008
_cell_length_c 7.598
_cell_angle_alpha 90.00
_cell_angle_beta 90.00
_cell_angle_gamma 90.00
_symmetry_space_group_name_H-M 'P 4 m m'
_symmetry_Int_Tables_number 99
_symmetry_space_group_name_Hall 'P 4 -2'
loop_
_atom_site_label
_atom_site_fract_x
_atom_site_fract_y
_atom_site_fract_z
Tc1 0.000 0.000 0.000
Rh1 0.500 0.500 0.256
Se1 0.000 0.000 0.424
Se2 0.500 0.500 0.826
```

---

<two>
# TcRhSe2

A geometry-optimized TcRhSe2 structure (PBEsol, Alexandria).

Structure (CIF):
```
data_TcRhSe2
_chemical_formula_sum 'Tc2 Rh2 Se4'
_cell_length_a 2.984
_cell_length_b 5.166
_cell_length_c 8.209
_cell_angle_alpha 90.00
_cell_angle_beta 90.00
_cell_angle_gamma 90.00
_symmetry_space_group_name_H-M 'C m m m'
_symmetry_Int_Tables_number 65
_symmetry_space_group_name_Hall '-C 2 2'
loop_
_atom_site_label
_atom_site_fract_x
_atom_site_fract_y
_atom_site_fract_z
Tc1 0.000 0.000 0.000
Rh1 0.000 0.000 0.500
Se1 0.000 0.500 0.246
```

---

<three>
# TcRhSe2

A geometry-optimized TcRhSe2 structure (PBEsol, Alexandria).

Structure (CIF):
```
data_TcRhSe2
_chemical_formula_sum 'Tc2 Rh2 Se4'
_cell_length_a 3.045
_cell_length_b 4.304
_cell_length_c 9.502
_cell_angle_alpha 90.00
_cell_angle_beta 90.00
_cell_angle_gamma 90.00
_symmetry_space_group_name_H-M 'I m m 2'
_symmetry_Int_Tables_number 44
_symmetry_space_group_name_Hall 'I 2 -2'
loop_
_atom_site_label
_atom_site_fract_x
_atom_site_fract_y
_atom_site_fract_z
Tc1 0.000 0.000 0.000
Rh1 0.000 0.500 0.789
Se1 0.000 0.000 0.512
Se2 0.000 0.500 0.290
```

---

<four>
# TcRhSe2

A geometry-optimized TcRhSe2 structure (PBEsol, Alexandria).

Structure (CIF):
```
data_TcRhSe2
_chemical_formula_sum 'Tc2 Rh2 Se4'
_cell_length_a 3.683
_cell_length_b 3.683
_cell_length_c 8.931
_cell_angle_alpha 90.00
_cell_angle_beta 90.00
_cell_angle_gamma 90.00
_symmetry_space_group_name_H-M 'I -4 m 2'
_symmetry_Int_Tables_number 119
_symmetry_space_group_name_Hall 'I -4 -2'
loop_
_atom_site_label
_atom_site_fract_x
_atom_site_fract_y
_atom_site_fract_z
Tc1 0.000 0.000 0.000
Rh1 0.000 0.500 0.250
Se1 0.000 0.000 0.500
Se2 0.000 0.500 0.750
```

---

Most stable pick: <one>. Distance to second place: 24.0 kJ/mol of atoms.

---

<one>
# ZnRhSe

A geometry-optimized ZnRhSe structure (PBEsol, Alexandria).

Structure (CIF):
```
data_ZnRhSe
_chemical_formula_sum 'Zn2 Rh2 Se2'
_cell_length_a 2.963
_cell_length_b 2.963
_cell_length_c 10.704
_cell_angle_alpha 90.00
_cell_angle_beta 90.00
_cell_angle_gamma 90.00
_symmetry_space_group_name_H-M 'I 4 m m'
_symmetry_Int_Tables_number 107
_symmetry_space_group_name_Hall 'I 4 -2'
loop_
_atom_site_label
_atom_site_fract_x
_atom_site_fract_y
_atom_site_fract_z
Zn1 0.000 0.000 0.000
Rh1 0.000 0.000 0.349
Se1 0.000 0.000 0.707
```

---

<two>
# ZnRhSe

A geometry-optimized ZnRhSe structure (PBEsol, Alexandria).

Structure (CIF):
```
data_ZnRhSe
_chemical_formula_sum 'Zn4 Rh4 Se4'
_cell_length_a 5.876
_cell_length_b 5.876
_cell_length_c 5.876
_cell_angle_alpha 90.00
_cell_angle_beta 90.00
_cell_angle_gamma 90.00
_symmetry_space_group_name_H-M 'F -4 3 m'
_symmetry_Int_Tables_number 216
_symmetry_space_group_name_Hall 'F -4 2 3'
loop_
_atom_site_label
_atom_site_fract_x
_atom_site_fract_y
_atom_site_fract_z
Zn1 0.000 0.000 0.000
Rh1 0.250 0.250 0.750
Se1 0.250 0.250 0.250
```

---

Most stable pick: <one>. Distance to second place: 28.8 kJ/mol of atoms.